La2InIr after structural relaxation, computed with PBEsol.

Cell lengths 4.078, 4.078, 8.546 Å; angles 76.19, 76.19, 60.00 degrees
Element x y z (fractional)
1 In 0.000 0.000 0.000
2 La 0.768 0.768 0.695
3 La 0.232 0.232 0.305
4 Ir 0.500 0.500 0.500

Summary:
M_tot   0.00 Bohr magnetons per cell
E_tot   -25.47 eV per cell
ΔH_f (0 K)   -0.493 eV per atom


La2InIr after structural relaxation, computed with PBEsol.

Cell lengths 3.524, 3.524, 8.362 Å; angles 90.00, 90.00, 90.00 degrees
Element x y z (fractional)
1 La 0.000 0.000 0.294
2 La 0.000 0.000 0.706
3 In 0.500 0.500 0.000
4 Ir 0.500 0.500 0.500

Summary:
M_tot   0.00 Bohr magnetons per cell
E_tot   -25.66 eV per cell
ΔH_f (0 K)   -0.540 eV per atom


La2InIr2 after structural relaxation, computed with PBEsol.

Cell lengths 5.619, 5.617, 5.619 Å; angles 59.99, 90.00, 120.01 degrees
Element x y z (fractional)
1 Ir 0.333 0.666 0.667
2 Ir 0.667 0.334 0.333
3 In 0.000 0.000 0.000
4 La 0.250 0.500 0.250
5 La 0.750 0.500 0.750

Summary:
M_tot   0.00 Bohr magnetons per cell
E_tot   -35.50 eV per cell
ΔH_f (0 K)   -0.436 eV per atom


La2InIr after structural relaxation, computed with PBEsol.

Cell lengths 5.028, 5.028, 5.028 Å; angles 60.00, 60.00, 60.00 degrees
Element x y z (fractional)
1 La 0.000 0.000 0.000
2 La 0.250 0.250 0.250
3 In 0.500 0.500 0.500
4 Ir 0.750 0.750 0.750

Summary:
M_tot   0.00 Bohr magnetons per cell
E_tot   -25.24 eV per cell
ΔH_f (0 K)   -0.436 eV per atom


LaIn2Ir2 after structural relaxation, computed with PBEsol.

Cell lengths 4.295, 4.295, 6.577 Å; angles 109.06, 109.06, 90.00 degrees
Element x y z (fractional)
1 In 0.250 0.750 0.500
2 In 0.750 0.250 0.500
3 Ir 0.604 0.604 0.207
4 Ir 0.396 0.396 0.793
5 La 0.000 0.000 0.000

Summary:
M_tot   0.00 Bohr magnetons per cell
E_tot   -33.05 eV per cell
ΔH_f (0 K)   -0.419 eV per atom


LiInIr2 after structural relaxation, computed with PBEsol.

Cell lengths 2.801, 2.801, 8.697 Å; angles 90.00, 90.00, 116.34 degrees
Element x y z (fractional)
1 Ir 0.000 0.000 0.744
2 Ir 0.000 0.000 0.256
3 In 0.500 0.500 0.000
4 Li 0.500 0.500 0.500

Summary:
M_tot   0.00 Bohr magnetons per cell
E_tot   -23.79 eV per cell
ΔH_f (0 K)   0.201 eV per atom


LiIn2Ir after structural relaxation, computed with PBEsol.

Cell lengths 3.095, 3.095, 9.117 Å; angles 80.23, 80.23, 60.00 degrees
Element x y z (fractional)
1 Ir 0.500 0.500 0.500
2 Li 0.000 0.000 0.000
3 In 0.246 0.246 0.263
4 In 0.754 0.754 0.737

Summary:
M_tot   0.00 Bohr magnetons per cell
E_tot   -17.86 eV per cell
ΔH_f (0 K)   -0.027 eV per atom
Offset from the most stable computed form   0.313 eV/atom


LiInIr2 after structural relaxation, computed with PBEsol.

Cell lengths 5.021, 5.563, 5.563 Å; angles 78.25, 63.17, 63.17 degrees
Element x y z (fractional)
1 Ir 0.165 0.460 0.960
2 Ir 0.375 0.040 0.460
3 Ir 0.585 0.540 0.040
4 Ir 0.875 0.960 0.540
5 Li 0.500 0.000 0.000
6 Li 0.250 0.500 0.500
7 In 0.750 0.500 0.500
8 In 0.000 0.000 0.000

Summary:
M_tot   0.00 Bohr magnetons per cell
E_tot   -45.54 eV per cell
ΔH_f (0 K)   0.457 eV per atom


LiIn2Ir after structural relaxation, computed with PBEsol.

Cell lengths 4.559, 4.559, 4.559 Å; angles 60.00, 60.00, 60.00 degrees
Element x y z (fractional)
1 Ir 0.000 0.000 0.000
2 In 0.750 0.750 0.750
3 In 0.250 0.250 0.250
4 Li 0.500 0.500 0.500

Summary:
M_tot   0.00 Bohr magnetons per cell
E_tot   -19.11 eV per cell
ΔH_f (0 K)   -0.340 eV per atom
Offset from the most stable computed form   0.000 eV/atom


MgInIr2 after structural relaxation, computed with PBEsol.

Cell lengths 2.848, 5.058, 5.280 Å; angles 117.75, 104.24, 92.84 degrees
Element x y z (fractional)
1 In 0.000 0.500 0.000
2 Ir 0.500 0.500 0.500
3 Ir 0.000 0.000 0.500
4 Mg 0.500 0.000 0.000

Summary:
M_tot   0.00 Bohr magnetons per cell
E_tot   -24.31 eV per cell
ΔH_f (0 K)   0.008 eV per atom
Offset from the most stable computed form   0.235 eV/atom


MgInIr2 after structural relaxation, computed with PBEsol.

Cell lengths 2.900, 4.784, 5.276 Å; angles 113.39, 105.95, 90.00 degrees
Element x y z (fractional)
1 In 0.734 0.172 0.469
2 Mg 0.513 0.573 0.026
3 Ir 0.267 0.683 0.534
4 Ir 0.986 0.072 0.971

Summary:
M_tot   0.00 Bohr magnetons per cell
E_tot   -25.11 eV per cell
ΔH_f (0 K)   -0.190 eV per atom
Offset from the most stable computed form   0.037 eV/atom


MgInIr2 after structural relaxation, computed with PBEsol.

Cell lengths 3.164, 3.164, 6.233 Å; angles 90.00, 90.00, 90.00 degrees
Element x y z (fractional)
1 Ir 0.000 0.000 0.244
2 Ir 0.000 0.000 0.756
3 In 0.500 0.500 0.500
4 Mg 0.500 0.500 0.000

Summary:
M_tot   0.00 Bohr magnetons per cell
E_tot   -25.14 eV per cell
ΔH_f (0 K)   -0.197 eV per atom
Offset from the most stable computed form   0.029 eV/atom


MgIn2Ir2 after structural relaxation, computed with PBEsol.

Cell lengths 3.138, 7.559, 7.559 Å; angles 90.00, 90.00, 90.00 degrees
Element x y z (fractional)
1 In 0.500 0.345 0.155
2 In 0.500 0.655 0.845
3 In 0.500 0.155 0.655
4 In 0.500 0.845 0.345
5 Ir 0.000 0.143 0.357
6 Ir 0.000 0.643 0.143
7 Ir 0.000 0.857 0.643
8 Ir 0.000 0.357 0.857
9 Mg 0.000 0.000 0.000
10 Mg 0.000 0.500 0.500

Summary:
M_tot   0.00 Bohr magnetons per cell
E_tot   -56.37 eV per cell
ΔH_f (0 K)   -0.171 eV per atom


MgInIr2 after structural relaxation, computed with PBEsol.

Cell lengths 4.452, 4.452, 4.452 Å; angles 60.00, 60.00, 60.00 degrees
Element x y z (fractional)
1 Ir 0.750 0.750 0.750
2 Ir 0.250 0.250 0.250
3 In 0.500 0.500 0.500
4 Mg 0.000 0.000 0.000

Summary:
M_tot   0.00 Bohr magnetons per cell
E_tot   -25.25 eV per cell
ΔH_f (0 K)   -0.227 eV per atom
Offset from the most stable computed form   0.000 eV/atom


MgInIr after structural relaxation, computed with PBEsol.

Cell lengths 3.096, 3.713, 5.035 Å; angles 111.63, 107.90, 90.00 degrees
Element x y z (fractional)
1 Ir 0.672 0.672 0.343
2 Mg 0.321 0.321 0.643
3 In 0.007 0.007 0.014

Summary:
M_tot   0.00 Bohr magnetons per cell
E_tot   -15.20 eV per cell
ΔH_f (0 K)   -0.227 eV per atom


MgInIr after structural relaxation, computed with PBEsol.

Cell lengths 2.987, 4.470, 4.470 Å; angles 120.00, 90.00, 90.00 degrees
Element x y z (fractional)
1 Mg 0.355 0.333 0.667
2 In 0.963 0.000 0.000
3 Ir 0.681 0.667 0.333

Summary:
M_tot   0.00 Bohr magnetons per cell
E_tot   -14.93 eV per cell
ΔH_f (0 K)   -0.136 eV per atom


MgInIr2 after structural relaxation, computed with PBEsol.

Cell lengths 2.851, 4.003, 5.589 Å; angles 90.00, 90.00, 90.00 degrees
Element x y z (fractional)
1 Ir 0.500 0.500 0.262
2 Ir 0.000 0.000 0.000
3 In 0.500 0.500 0.765
4 Mg 0.000 0.000 0.474

Summary:
M_tot   0.00 Bohr magnetons per cell
E_tot   -24.53 eV per cell
ΔH_f (0 K)   -0.046 eV per atom
Offset from the most stable computed form   0.181 eV/atom


MgNbInIr2 after structural relaxation, computed with PBEsol.

Cell lengths 4.765, 4.765, 5.192 Å; angles 90.00, 90.00, 90.00 degrees
Element x y z (fractional)
1 Mg 0.500 0.500 0.500
2 Ir 0.500 0.000 0.000
3 Ir 0.000 0.500 0.000
4 In 0.000 0.000 0.500
5 Nb 0.000 0.000 0.000

Summary:
M_tot   0.00 Bohr magnetons per cell
E_tot   -29.72 eV per cell
ΔH_f (0 K)   1.090 eV per atom


MnInIr2 after structural relaxation, computed with PBEsol.

Cell lengths 2.862, 4.792, 4.679 Å; angles 100.57, 90.00, 107.38 degrees
Element x y z (fractional)
1 Ir 0.250 0.499 0.735
2 Ir 0.995 0.989 0.989
3 In 0.748 0.496 0.242
4 Mn 0.508 0.015 0.535

Summary:
M_tot   2.78 Bohr magnetons per cell
E_tot   -32.09 eV per cell
ΔH_f (0 K)   0.076 eV per atom


MnInIr2 after structural relaxation, computed with PBEsol.

Cell lengths 2.837, 4.631, 4.892 Å; angles 100.90, 90.00, 107.84 degrees
Element x y z (fractional)
1 In 0.500 0.000 0.000
2 Mn 0.000 0.000 0.500
3 Ir 0.257 0.515 0.272
4 Ir 0.743 0.485 0.728

Summary:
M_tot   3.31 Bohr magnetons per cell
E_tot   -32.24 eV per cell
ΔH_f (0 K)   0.038 eV per atom


MnInIrN2 after structural relaxation, computed with PBEsol.

Cell lengths 3.607, 3.607, 5.444 Å; angles 90.00, 90.00, 90.00 degrees
Element x y z (fractional)
1 Ir 0.500 0.500 0.500
2 N 0.500 0.000 0.000
3 N 0.000 0.500 0.000
4 In 0.000 0.000 0.500
5 Mn 0.000 0.000 0.000

Summary:
Energy relative to the elements, uncorrected   1.0996 eV/atom
M_tot   0.00 Bohr magnetons per cell
E_tot   -34.12 eV per cell


InMo2Ir after structural relaxation, computed with PBEsol.

Cell lengths 2.788, 4.186, 5.437 Å; angles 90.00, 90.00, 90.00 degrees
Element x y z (fractional)
1 In 0.500 0.500 0.000
2 Ir 0.500 0.500 0.500
3 Mo 0.000 0.000 0.734
4 Mo 0.000 0.000 0.266

Summary:
M_tot   0.00 Bohr magnetons per cell
E_tot   -35.97 eV per cell
ΔH_f (0 K)   0.094 eV per atom


InMo2Ir after structural relaxation, computed with PBEsol.

Cell lengths 2.817, 4.510, 4.989 Å; angles 90.00, 90.01, 90.00 degrees
Element x y z (fractional)
1 Ir 0.375 0.500 0.785
2 Mo 0.875 0.500 0.263
3 Mo 0.875 0.000 0.978
4 In 0.375 0.000 0.474

Summary:
M_tot   0.00 Bohr magnetons per cell
E_tot   -35.86 eV per cell
ΔH_f (0 K)   0.120 eV per atom


InMo3Ir after structural relaxation, computed with PBEsol.

Cell lengths 4.705, 4.705, 4.705 Å; angles 90.00, 90.00, 90.00 degrees
Element x y z (fractional)
1 Mo 0.000 0.000 0.500
2 Mo 0.500 0.000 0.000
3 Mo 0.000 0.500 0.000
4 Ir 0.000 0.000 0.000
5 In 0.500 0.500 0.500

Summary:
M_tot   0.05 Bohr magnetons per cell
E_tot   -40.71 eV per cell
ΔH_f (0 K)   1.480 eV per atom


InMoIr2 after structural relaxation, computed with PBEsol.

Cell lengths 2.833, 4.003, 5.550 Å; angles 90.00, 90.00, 90.00 degrees
Element x y z (fractional)
1 Mo 0.000 0.000 0.465
2 Ir 0.500 0.500 0.275
3 Ir 0.000 0.000 0.991
4 In 0.500 0.500 0.768

Summary:
M_tot   0.00 Bohr magnetons per cell
E_tot   -34.07 eV per cell
ΔH_f (0 K)   0.082 eV per atom


InMoIr2 after structural relaxation, computed with PBEsol.

Cell lengths 2.836, 2.836, 7.796 Å; angles 90.00, 90.00, 90.00 degrees
Element x y z (fractional)
1 Mo 0.000 0.000 0.477
2 Ir 0.000 0.000 0.009
3 Ir 0.500 0.500 0.256
4 In 0.500 0.500 0.758

Summary:
M_tot   0.00 Bohr magnetons per cell
E_tot   -34.01 eV per cell
ΔH_f (0 K)   0.096 eV per atom


InMoIr2 after structural relaxation, computed with PBEsol.

Cell lengths 2.849, 2.849, 7.637 Å; angles 90.00, 90.00, 90.00 degrees
Element x y z (fractional)
1 Mo 0.500 0.500 0.000
2 Ir 0.000 0.000 0.766
3 Ir 0.000 0.000 0.234
4 In 0.500 0.500 0.500

Summary:
M_tot   0.00 Bohr magnetons per cell
E_tot   -35.27 eV per cell
ΔH_f (0 K)   -0.219 eV per atom


InMo2Ir after structural relaxation, computed with PBEsol.

Cell lengths 3.412, 3.412, 5.722 Å; angles 90.00, 90.00, 90.00 degrees
Element x y z (fractional)
1 Mo 0.000 0.000 0.710
2 Mo 0.000 0.000 0.290
3 In 0.500 0.500 0.000
4 Ir 0.500 0.500 0.500

Summary:
M_tot   0.00 Bohr magnetons per cell
E_tot   -35.12 eV per cell
ΔH_f (0 K)   0.305 eV per atom


InMoIr2 after structural relaxation, computed with PBEsol.

Cell lengths 2.820, 2.820, 9.210 Å; angles 81.19, 81.19, 60.00 degrees
Element x y z (fractional)
1 Mo 0.500 0.500 0.500
2 In 0.000 0.000 0.000
3 Ir 0.754 0.754 0.737
4 Ir 0.246 0.246 0.263

Summary:
M_tot   0.00 Bohr magnetons per cell
E_tot   -34.33 eV per cell
ΔH_f (0 K)   0.018 eV per atom


In2MoIrSe after structural relaxation, computed with PBEsol.

Cell lengths 4.556, 5.217, 5.217 Å; angles 90.00, 90.00, 90.00 degrees
Element x y z (fractional)
1 Mo 0.000 0.000 0.000
2 Se 0.500 0.000 0.000
3 Ir 0.500 0.500 0.500
4 In 0.000 0.000 0.500
5 In 0.000 0.500 0.000

Summary:
Energy relative to the elements, uncorrected   1.2607 eV/atom
M_tot   2.27 Bohr magnetons per cell
E_tot   -25.10 eV per cell